P) Below is a relaxed SmReCl crystal, with properties calculated at the PBE level.

Cell and atoms, written as extended XYZ:
```
6
Lattice="4.073 0.000 0.735 1.970 3.565 0.735 0.034 0.020 11.469" Properties=species:S:1:pos:R:3 pbc="T T T"
Cl 1.711 1.009 2.171
Cl 4.366 2.575 10.767
Sm 3.433 2.025 4.286
Sm 2.645 1.560 8.653
Re 5.091 3.003 6.751
Re 0.987 0.582 6.188
```

## Properties
Spin magnetization ... 0.00 μB per formula unit
Density of states at the Fermi level ... 4.07 states/eV/cell

---

Q) Below is a relaxed SmReCl crystal, with properties calculated at the PBE level.

Cell and atoms, written as extended XYZ:
```
6
Lattice="-0.977 -3.489 0.289 0.862 -1.889 2.981 -14.145 3.961 -0.030" Properties=species:S:1:pos:R:3 pbc="T T T"
Sm -4.568 -1.775 2.097
Sm -1.147 -2.680 2.753
Re -10.394 1.707 1.565
Re -9.428 -0.408 2.158
Cl -7.202 -1.122 1.058
Cl -13.594 -1.069 2.957
```

## Properties
Spin magnetization ... 0.39 μB per formula unit
Density of states at the Fermi level ... 2.80 states/eV/cell

---

Stability ranking, top and bottom: P) is the most stable and Q) is the least stable.

---

P) Below is a relaxed ReSnCl2 crystal, with properties calculated at the PBE level.

Cell and atoms, written as extended XYZ:
```
4
Lattice="1.845 0.000 11.301 -0.922 1.598 11.301 -0.922 -1.598 11.301" Properties=species:S:1:pos:R:3 pbc="T T T"
Cl 0.000 0.000 4.008
Cl 0.000 0.000 29.896
Re 0.000 0.000 16.952
Sn 0.000 0.000 0.000
```

## Properties
Spin magnetization ... 0.00 μB per formula unit
Density of states at the Fermi level ... 2.29 states/eV/cell

---

Q) Below is a relaxed ReSnCl2 crystal, with properties calculated at the PBE level.

Cell and atoms, written as extended XYZ:
```
4
Lattice="0.000 3.482 3.482 3.482 0.000 3.482 3.482 3.482 0.000" Properties=species:S:1:pos:R:3 pbc="T T T"
Cl 5.223 5.223 5.223
Cl 1.741 1.741 1.741
Sn 0.000 0.000 0.000
Re 3.482 3.482 3.482
```

## Properties
Spin magnetization ... 3.44 μB per formula unit
Density of states at the Fermi level ... 2.10 states/eV/cell

---

R) Below is a relaxed ReSnCl2 crystal, with properties calculated at the PBE level.

Cell and atoms, written as extended XYZ:
```
4
Lattice="1.786 0.000 9.738 -0.893 1.547 9.738 -0.893 -1.547 9.738" Properties=species:S:1:pos:R:3 pbc="T T T"
Cl 0.000 0.000 26.942
Cl 0.000 0.000 2.272
Sn 0.000 0.000 14.607
Re 0.000 0.000 0.000
```

## Properties
Spin magnetization ... 0.00 μB per formula unit
Density of states at the Fermi level ... 2.69 states/eV/cell

---

S) Below is a relaxed ReSnCl2 crystal, with properties calculated at the PBE level.

Cell and atoms, written as extended XYZ:
```
8
Lattice="-4.570 6.120 3.478 -4.158 0.999 -7.221 -6.163 1.769 -1.084" Properties=species:S:1:pos:R:3 pbc="T T T"
Cl -4.142 1.070 -4.782
Cl -7.378 3.872 -1.318
Cl -5.485 5.153 1.433
Cl -12.776 7.680 -4.986
Re -7.548 5.724 0.262
Re 0.000 0.000 0.000
Sn -7.342 3.164 -5.088
Sn -4.364 3.560 -1.871
```

## Properties
Spin magnetization ... 0.83 μB per formula unit
Density of states at the Fermi level ... 6.40 states/eV/cell

---

Stability ranking, top and bottom: R) is the most stable and Q) is the least stable.